{"formula": "CsIn2NiO", "functional": "PBE+U", "state": "relaxed", "energy_ev_per_atom": -2.61, "m_tot_mub_per_fu": 0.51, "lattice_angstrom": [[-5.035, 0.426, -3.072], [-1.315, -3.132, 1.721], [-2.334, 3.336, 4.289]], "species": ["Cs", "Ni", "O", "In", "In"], "fractional_positions": [[0.500, 0.500, 0.500], [0.000, 0.500, 0.000], [0.000, 0.000, 0.000], [0.000, 0.000, 0.500], [0.500, 0.000, 0.000]]}